[1]
# K3H2I4 PBE relaxed
data_K3H2I4
_chemical_formula_sum 'K12 H8 I16'
_cell_length_a 17.691
_cell_length_b 9.410
_cell_length_c 8.385
_cell_angle_alpha 90.00
_cell_angle_beta 94.12
_cell_angle_gamma 90.00
_symmetry_space_group_name_H-M 'C 1 2/c 1'
_symmetry_Int_Tables_number 15
loop_
_symmetry_equiv_pos_as_xyz
'x,y,z'
'-x,-y,-z'
'-x,y,-z+1/2'
'x,-y,z+1/2'
'x+1/2,y+1/2,z'
'-x+1/2,-y+1/2,-z'
'-x+1/2,y+1/2,-z+1/2'
'x+1/2,-y+1/2,z+1/2'
loop_
_atom_site_label
_atom_site_type_symbol
_atom_site_fract_x
_atom_site_fract_y
_atom_site_fract_z
_atom_site_occupancy
K1 K 0.000 0.008 0.250 1
K2 K 0.128 0.401 0.872 1
H1 H 0.213 0.004 0.590 1
I1 I 0.044 0.281 0.509 1
I2 I 0.212 0.011 0.845 1
# DFT total energy in Ry/atom: -0.187

---

[2]
# Nd2PtCl PBE relaxed
data_Nd2PtCl
_chemical_formula_sum 'Nd6 Pt3 Cl3'
_cell_length_a 4.1531
_cell_length_b 4.1531
_cell_length_c 23.0297
_cell_angle_alpha 90.00
_cell_angle_beta 90.00
_cell_angle_gamma 120.00
_symmetry_space_group_name_H-M 'R 3 m'
_symmetry_Int_Tables_number 160
_symmetry_space_group_name_Hall 'R 3 -2"'
loop_
_atom_site_label
_atom_site_type_symbol
_atom_site_fract_x
_atom_site_fract_y
_atom_site_fract_z
_atom_site_occupancy
Nd1 Nd 0.0000 0.0000 0.0000 1
Nd2 Nd 0.0000 0.0000 0.1958 1
Pt1 Pt 0.0000 0.0000 0.5978 1
Cl1 Cl 0.0000 0.0000 0.7680 1
# Uncorrected formation energy in eV/f.u.: -5.2
# Polymorph energy (0 for the lowest one) in meV per atom: 32

---

[3]
# ErMgHg3 PBE relaxed
data_ErMgHg3
_chemical_formula_sum 'Er4 Mg4 Hg12'
_cell_length_a 18.770
_cell_length_b 5.366
_cell_length_c 5.196
_cell_angle_alpha 90.00
_cell_angle_beta 105.47
_cell_angle_gamma 90.00
_symmetry_space_group_name_H-M 'C 1 2/m 1'
_symmetry_Int_Tables_number 12
loop_
_symmetry_equiv_pos_as_xyz
'x,y,z'
'-x,-y,-z'
'-x,y,-z'
'x,-y,z'
'x+1/2,y+1/2,z'
'-x+1/2,-y+1/2,-z'
'-x+1/2,y+1/2,-z'
'x+1/2,-y+1/2,z'
loop_
_atom_site_label
_atom_site_type_symbol
_atom_site_fract_x
_atom_site_fract_y
_atom_site_fract_z
_atom_site_occupancy
Er1 Er 0.111 0.000 0.366 1
Mg1 Mg 0.123 0.500 0.874 1
Hg1 Hg 0.034 0.500 0.283 1
Hg2 Hg 0.194 0.000 0.946 1
Hg3 Hg 0.209 0.500 0.460 1
# ΔE_f in meV per atom: -166

---

[4]
# MgTl2H2 PBE relaxed
data_MgTl2H2
_chemical_formula_sum 'Mg2 Tl4 H4'
_cell_length_a 6.101
_cell_length_b 6.101
_cell_length_c 5.180
_cell_angle_alpha 90.00
_cell_angle_beta 90.00
_cell_angle_gamma 90.00
_symmetry_space_group_name_H-M 'P 4/m b m'
_symmetry_Int_Tables_number 127
_symmetry_space_group_name_Hall '-P 4 2ab'
loop_
_atom_site_label
_atom_site_type_symbol
_atom_site_fract_x
_atom_site_fract_y
_atom_site_fract_z
_atom_site_occupancy
Mg1 Mg 0.000 0.000 0.000 1
Tl1 Tl 0.188 0.312 0.500 1
H1 H 0.236 0.264 0.000 1
# Polymorph energy (0 for the lowest one) in meV per atom: 67

---

[5]
# Pr6CuBr8 PBE relaxed
data_Pr6CuBr8
_chemical_formula_sum 'Pr18 Cu3 Br24'
_cell_length_a 7.3594
_cell_length_b 7.3594
_cell_length_c 32.6994
_cell_angle_alpha 90.00
_cell_angle_beta 90.00
_cell_angle_gamma 120.00
_symmetry_space_group_name_H-M 'R -3'
_symmetry_Int_Tables_number 148
_symmetry_space_group_name_Hall '-R 3'
loop_
_atom_site_label
_atom_site_type_symbol
_atom_site_fract_x
_atom_site_fract_y
_atom_site_fract_z
_atom_site_occupancy
Pr1 Pr 0.0000 0.3119 0.4478 1
Cu1 Cu 0.0000 0.0000 0.5000 1
Br1 Br 0.0000 0.0000 0.1667 1
Br2 Br 0.9999 0.3398 0.6080 1
# Uncorrected formation energy in eV/f.u.: -20.4

---

[6]
# Mo2IrOs PBE relaxed
data_Mo2IrOs
_chemical_formula_sum 'Mo2 Ir1 Os1'
_cell_length_a 3.275
_cell_length_b 3.275
_cell_length_c 5.778
_cell_angle_alpha 90.00
_cell_angle_beta 90.00
_cell_angle_gamma 90.00
_symmetry_space_group_name_H-M 'P 4 m m'
_symmetry_Int_Tables_number 99
loop_
_symmetry_equiv_pos_as_xyz
'x,y,z'
'-y,x,z'
'-x,-y,z'
'y,-x,z'
'-x,y,z'
'y,x,z'
'x,-y,z'
'-y,-x,z'
loop_
_atom_site_label
_atom_site_type_symbol
_atom_site_fract_x
_atom_site_fract_y
_atom_site_fract_z
_atom_site_occupancy
Mo1 Mo 0.000 0.000 0.000 1
Mo2 Mo 0.500 0.500 0.285 1
Ir1 Ir 0.500 0.500 0.793 1
Os1 Os 0.000 0.000 0.511 1
# ΔE_f in meV per atom: 200
# Polymorph energy (0 for the lowest one) in meV per atom: 333

---

[7]
# HgW2Au PBE relaxed
data_HgW2Au
_chemical_formula_sum 'Hg2 W4 Au2'
_cell_length_a 9.839
_cell_length_b 2.776
_cell_length_c 5.177
_cell_angle_alpha 90.00
_cell_angle_beta 98.68
_cell_angle_gamma 90.00
_symmetry_space_group_name_H-M 'C 1 2/m 1'
_symmetry_Int_Tables_number 12
loop_
_symmetry_equiv_pos_as_xyz
'x,y,z'
'-x,-y,-z'
'-x,y,-z'
'x,-y,z'
'x+1/2,y+1/2,z'
'-x+1/2,-y+1/2,-z'
'-x+1/2,y+1/2,-z'
'x+1/2,-y+1/2,z'
loop_
_atom_site_label
_atom_site_type_symbol
_atom_site_fract_x
_atom_site_fract_y
_atom_site_fract_z
_atom_site_occupancy
Hg1 Hg 0.000 0.000 0.000 1
W1 W 0.247 0.000 0.745 1
Au1 Au 0.000 0.500 0.500 1
# ΔE_f in meV per atom: 644

---

[8]
# VAg2GeH PBE relaxed
data_VAg2GeH
_chemical_formula_sum 'V1 Ag2 Ge1 H1'
_cell_length_a 4.031
_cell_length_b 4.031
_cell_length_c 4.277
_cell_angle_alpha 90.00
_cell_angle_beta 90.00
_cell_angle_gamma 90.00
_symmetry_space_group_name_H-M 'P 4/m m m'
_symmetry_Int_Tables_number 123
_symmetry_space_group_name_Hall '-P 4 2'
loop_
_atom_site_label
_atom_site_type_symbol
_atom_site_fract_x
_atom_site_fract_y
_atom_site_fract_z
_atom_site_occupancy
V1 V 0.000 0.000 0.000 1
Ag1 Ag 0.000 0.500 0.500 1
Ge1 Ge 0.500 0.500 0.000 1
H1 H 0.000 0.000 0.500 1
# DFT total energy in Ry/atom: -0.314